Entry 1:
The following is a PBE-GGA calculation of a geometry-optimized Th3ScAu4 structure, from Alexandria via LeMat-Bulk.

- total DFT energy (no corrections) (eV per atom) = -5.836
- energy relative to the elements (meV per atom) = -623.7

Cell: 3.4580 3.4580 15.9604 Å, 90.00 90.00 90.00°
Sites, in units of the cell vectors:
Sc  0.5000  0.5000  0.0000
Au  0.0000  0.0000  0.9020
Au  0.0000  0.0000  0.0980
Au  0.0000  0.0000  0.3665
Au  0.0000  0.0000  0.6335
Th  0.5000  0.5000  0.2362
Th  0.5000  0.5000  0.5000
Th  0.5000  0.5000  0.7638

Entry 2:
The following is a PBE-GGA calculation of a geometry-optimized Th2ScAu4 structure, from Alexandria via LeMat-Bulk.

- total DFT energy (no corrections) (eV per atom) = -5.433
- energy relative to the elements (meV per atom) = -536.0

Cell: 5.0869 5.0869 7.6162 Å, 109.51 109.51 90.00°
Sites, in units of the cell vectors:
Th  0.7204  0.7204  0.4408
Th  0.2796  0.2796  0.5592
Sc  0.0000  0.0000  0.0000
Au  0.3942  0.8942  0.7884
Au  0.8942  0.3942  0.7884
Au  0.6058  0.1058  0.2116
Au  0.1058  0.6058  0.2116

Entry 3:
The following is a PBE-GGA calculation of a geometry-optimized ThSc3Au4 structure, from Alexandria via LeMat-Bulk.

- total DFT energy (no corrections) (eV per atom) = -5.665
- energy relative to the elements (meV per atom) = -724.6

Cell: 4.8287 4.8287 8.9922 Å, 74.43 74.43 60.00°
Sites, in units of the cell vectors:
Sc  0.2445  0.2445  0.2665
Sc  0.7555  0.7555  0.7335
Sc  0.5000  0.5000  0.5000
Au  0.8703  0.8703  0.3891
Au  0.3894  0.3894  0.8319
Au  0.1297  0.1297  0.6109
Au  0.6106  0.6106  0.1681
Th  0.0000  0.0000  0.0000

Entry 4:
The following is a PBE-GGA calculation of a geometry-optimized ThScZn5Au2 structure, from Alexandria via LeMat-Bulk.

- total DFT energy (no corrections) (eV per atom) = -3.055
- energy relative to the elements (meV per atom) = -90.5

Cell: 4.7178 4.7178 8.2225 Å, 90.00 90.00 90.00°
Sites, in units of the cell vectors:
Th  0.0000  0.0000  0.5000
Sc  0.0000  0.0000  0.0000
Zn  0.0000  0.5000  0.2660
Zn  0.5000  0.0000  0.2660
Zn  0.0000  0.5000  0.7340
Zn  0.5000  0.0000  0.7340
Zn  0.5000  0.5000  0.5000
Au  0.5000  0.5000  0.1607
Au  0.5000  0.5000  0.8393

Entry 5:
The following is a PBE-GGA calculation of a geometry-optimized ThSc2ZnAu4 structure, from Alexandria via LeMat-Bulk.

- total DFT energy (no corrections) (eV per atom) = -4.934
- energy relative to the elements (meV per atom) = -625.4

Cell: 4.7158 4.7158 9.1320 Å, 75.04 75.04 60.00°
Sites, in units of the cell vectors:
Th  0.0000  0.0000  0.0000
Sc  0.7657  0.7657  0.7029
Sc  0.2343  0.2343  0.2971
Zn  0.5000  0.5000  0.5000
Au  0.3939  0.3939  0.8183
Au  0.8776  0.8776  0.3673
Au  0.1224  0.1224  0.6327
Au  0.6061  0.6061  0.1817

Entry 6:
The following is a PBE-GGA calculation of a geometry-optimized ScTiAu2 structure, from Alexandria via LeMat-Bulk.

- total DFT energy (no corrections) (eV per atom) = -5.335
- energy relative to the elements (meV per atom) = -139.7
- excess energy over the best structure of this formula in the dataset (meV/atom) = 410

Cell: 7.3316 7.3316 6.0282 Å, 52.55 52.55 90.00°
Each line ends with the local moment (μB).
Sites, in units of the cell vectors:
Sc  0.5000  0.5000  0.0000  0.27
Sc  0.2500  0.7500  0.5000  0.28
Au  0.6420  0.1250  0.2500  0.06
Au  0.1080  0.6250  0.2500  0.06
Au  0.3750  0.3580  0.7500  0.06
Au  0.8750  0.8920  0.7500  0.06
Ti  0.0000  0.0000  0.0000  1.02
Ti  0.7500  0.2500  0.5000  1.03

Entry 7:
The following is a PBE-GGA calculation of a geometry-optimized ScTiAu structure, from Alexandria via LeMat-Bulk.

- total DFT energy (no corrections) (eV per atom) = -6.188
- energy relative to the elements (meV per atom) = -353.4

Cell: 8.0509 6.1438 4.6308 Å, 90.00 90.00 90.00°
Each line ends with the local moment (μB).
Sites, in units of the cell vectors:
Sc  0.0000  0.0000  0.0000  0.09
Sc  0.5000  0.5000  0.5000  0.07
Sc  0.5000  0.0000  0.5000  0.09
Sc  0.0000  0.5000  0.0000  0.07
Au  0.6662  0.2500  0.9996  0.00
Au  0.8338  0.7500  0.4996  0.00
Au  0.3338  0.7500  0.0004  0.00
Au  0.1662  0.2500  0.5004  0.00
Ti  0.3330  0.2500  0.0003  0.17
Ti  0.1670  0.7500  0.5003  0.17
Ti  0.6670  0.7500  0.9997  0.17
Ti  0.8330  0.2500  0.4997  0.17

Entry 8:
The following is a PBE-GGA calculation of a geometry-optimized ScTiAu structure, from Alexandria via LeMat-Bulk.

- total DFT energy (no corrections) (eV per atom) = -6.271
- energy relative to the elements (meV per atom) = -436.3

Cell: 6.5587 4.5073 7.9451 Å, 90.00 90.00 90.00°
Sites, in units of the cell vectors:
Sc  0.0131  0.2500  0.8068
Sc  0.4869  0.7500  0.3068
Sc  0.9869  0.7500  0.1932
Sc  0.5131  0.2500  0.6932
Au  0.7611  0.2500  0.4017
Au  0.7389  0.7500  0.9017
Au  0.2389  0.7500  0.5983
Au  0.2611  0.2500  0.0983
Ti  0.1657  0.2500  0.4234
Ti  0.3343  0.7500  0.9234
Ti  0.8343  0.7500  0.5766
Ti  0.6657  0.2500  0.0766

Entry 9:
The following is a PBE-GGA calculation of a geometry-optimized ScTiAu structure, from Alexandria via LeMat-Bulk.

- total DFT energy (no corrections) (eV per atom) = -6.191
- energy relative to the elements (meV per atom) = -356.8

Cell: 5.2785 3.8947 6.2303 Å, 90.02 73.59 68.36°
Each line ends with the local moment (μB).
Sites, in units of the cell vectors:
Sc  0.2806  0.6845  0.9795  -0.01
Sc  0.2099  0.7197  0.4910  -0.01
Au  0.5784  0.0355  0.6391  0.00
Au  0.9121  0.3687  0.8314  0.00
Ti  0.6193  0.0151  0.1516  0.61
Ti  0.8712  0.3891  0.3189  0.61

Entry 10:
The following is a PBE-GGA calculation of a geometry-optimized ScTi2Au2 structure, from Alexandria via LeMat-Bulk.

- total DFT energy (no corrections) (eV per atom) = -6.071
- energy relative to the elements (meV per atom) = -335.5
- excess energy over the best structure of this formula in the dataset (meV/atom) = 0

Cell: 7.5429 7.5429 3.3108 Å, 90.00 90.00 90.00°
Sites, in units of the cell vectors:
Sc  0.0000  0.0000  0.0000
Sc  0.5000  0.5000  0.0000
Au  0.3692  0.8692  0.0000
Au  0.8692  0.6308  0.0000
Au  0.6308  0.1308  0.0000
Au  0.1308  0.3692  0.0000
Ti  0.1688  0.6688  0.5000
Ti  0.6688  0.8312  0.5000
Ti  0.8312  0.3312  0.5000
Ti  0.3312  0.1688  0.5000

Entry 11:
The following is a PBE-GGA calculation of a geometry-optimized ScTiAu2 structure, from Alexandria via LeMat-Bulk.

- total DFT energy (no corrections) (eV per atom) = -5.722
- energy relative to the elements (meV per atom) = -526.8
- excess energy over the best structure of this formula in the dataset (meV/atom) = 23

Cell: 4.7255 4.7255 4.7255 Å, 60.00 60.00 60.00°
Each line ends with the local moment (μB).
Sites, in units of the cell vectors:
Sc  0.0000  0.0000  0.0000  0.11
Au  0.2500  0.2500  0.2500  0.03
Au  0.7500  0.7500  0.7500  0.03
Ti  0.5000  0.5000  0.5000  0.81

Entry 12:
The following is a PBE-GGA calculation of a geometry-optimized ScTiAu structure, from Alexandria via LeMat-Bulk.

- total DFT energy (no corrections) (eV per atom) = -4.796
- energy relative to the elements (meV per atom) = 1038.6

Cell: 4.4160 4.4160 10.3002 Å, 90.00 90.00 120.00°
Each line ends with the local moment (μB).
Sites, in units of the cell vectors:
Sc  0.0000  0.0000  0.2500  0.14
Sc  0.0000  0.0000  0.7500  0.13
Au  0.3333  0.6667  0.2500  0.00
Au  0.6667  0.3333  0.7500  0.00
Ti  0.0000  0.0000  0.0000  1.29
Ti  0.0000  0.0000  0.5000  1.30